Entry from the Alexandria database: a geometry-optimized Sr3CrGa2O8 structure (PBE with a Hubbard U).

ρ: 5.0 g/cm³
Total DFT energy (no corrections): -6.367 eV/atom
Volume: 13.7 Å³ per atom

Lattice parameters (Å, degrees): 5.5736 5.5736 7.1313 90.00 90.00 120.00
Last column: nearest neighbours and their distance in Å.
Space group P-3m1 (No. 164)
Inequivalent atoms, fractional coordinates:
Sr 0.0000 0.0000 0.0000 (multiplicity 1)  6 O 2.84
Sr 0.3333 0.6667 0.6435 (multiplicity 2)  1 O 2.29
Cr 0.0000 0.0000 0.5000 (multiplicity 1)  6 O 1.95
Ga 0.3333 0.6667 0.2118 (multiplicity 2)  4 O 1.76-1.88
O 0.1607 0.3213 0.3343 (multiplicity 6)  1 Ga 1.88, 1 Cr 1.95
O 0.3333 0.6667 0.9646 (multiplicity 2)  1 Ga 1.76